A plane-wave DFT calculation with GGA+U was carried out for crystalline RbV3O8 at its relaxed geometry.

Size of the total moment (μB/f.u.): 0.0
E (eV per atom): -7.10
Energy above the lowest structure with this stoichiometry (eV/atom): 0.048

abc: 9.019 9.019 9.019
angles: 34.03 34.03 34.03
Atoms (fractional coordinates):
Rb  0.000  0.000  0.000
V  0.231  0.231  0.231
V  0.500  0.500  0.500
V  0.769  0.769  0.769
O  0.141  0.713  0.517
O  0.287  0.483  0.859
O  0.296  0.296  0.296
O  0.483  0.859  0.287
O  0.517  0.141  0.713
O  0.704  0.704  0.704
O  0.713  0.517  0.141
O  0.859  0.287  0.483